*a*
Entry from the Alexandria database: an optimized crystal structure of Li2V3SnO8 (PBE+U).

Volume (Å³ per atom): 11.23
Magnetic moment (μB per formula unit): 5.00
Theoretical density (g cm⁻³): 4.4

a b c (Å): 10.4564 6.0605 10.5849
angles (deg): 90.00 110.41 90.00
Space group Cc (No. 9)
Asymmetric unit:
Li 0.0000 0.2440 0.0000 [4 per cell]
Li 0.4356 0.2512 0.8224 [4 per cell]
V 0.1754 0.4808 0.3192 [4 per cell]
V 0.1801 0.2488 0.5617 [4 per cell]
V 0.1814 0.0083 0.3226 [4 per cell]
Sn 0.3596 0.2528 0.1280 [4 per cell]
O 0.0666 0.2539 0.6977 [4 per cell]
O 0.0759 0.0208 0.4404 [4 per cell]
O 0.0786 0.2662 0.2070 [4 per cell]
O 0.0815 0.4920 0.4401 [4 per cell]
O 0.2950 0.2612 0.4368 [4 per cell]
O 0.2980 0.0172 0.6980 [4 per cell]
O 0.2991 0.4781 0.6997 [4 per cell]
O 0.2998 0.2537 0.9267 [4 per cell]


*b*
Entry from the Alexandria database: an optimized crystal structure of Li2V3SnO8 (PBE+U).

Volume (Å³ per atom): 11.26
Magnetic moment (μB per formula unit): 5.00
Theoretical density (g cm⁻³): 4.4

a b c (Å): 8.4852 8.6167 8.6259
angles (deg): 90.00 90.00 90.00
Space group P2_12_12_1 (No. 19)
Asymmetric unit:
Li 0.0058 0.0020 0.0041 [4 per cell]
Li 0.1258 0.3740 0.8763 [4 per cell]
V 0.1273 0.1264 0.6371 [4 per cell]
V 0.1311 0.8658 0.3757 [4 per cell]
V 0.1443 0.6276 0.1333 [4 per cell]
Sn 0.2458 0.2488 0.2559 [4 per cell]
O 0.1101 0.1129 0.3927 [4 per cell]
O 0.1149 0.6214 0.8897 [4 per cell]
O 0.1145 0.6381 0.3486 [4 per cell]
O 0.1161 0.3913 0.1244 [4 per cell]
O 0.1225 0.8830 0.6178 [4 per cell]
O 0.1346 0.8553 0.1356 [4 per cell]
O 0.1417 0.1260 0.8609 [4 per cell]
O 0.1456 0.3675 0.6195 [4 per cell]


*c*
Entry from the Alexandria database: an optimized crystal structure of Li2V3SnO8 (PBE+U).

Volume (Å³ per atom): 11.35
Magnetic moment (μB per formula unit): 5.00
Theoretical density (g cm⁻³): 4.3

a b c (Å): 8.5972 8.5972 8.6024
angles (deg): 90.00 90.00 90.00
Space group P4_32_12 (No. 96)
Asymmetric unit:
Li 0.0036 0.2478 0.3773 [8 per cell]
V 0.1167 0.6271 0.5081 [8 per cell]
V 0.1301 0.1301 0.0000 [4 per cell]
Sn 0.1258 0.8742 0.2500 [4 per cell]
O 0.1003 0.8706 0.4945 [8 per cell]
O 0.1159 0.6327 0.2728 [8 per cell]
O 0.1192 0.3578 0.9952 [8 per cell]
O 0.1198 0.1427 0.7667 [8 per cell]


*d*
Entry from the Alexandria database: an optimized crystal structure of Li2V3SnO8 (PBE+U).

Volume (Å³ per atom): 10.92
Magnetic moment (μB per formula unit): 5.00
Theoretical density (g cm⁻³): 4.5

a b c (Å): 5.9620 10.4454 9.8177
angles (deg): 90.00 90.03 90.00
Space group Cc (No. 9)
Asymmetric unit:
Li 0.0000 0.0019 0.0000 [4 per cell]
Li 0.4851 0.1659 0.9029 [4 per cell]
V 0.2353 0.4145 0.7203 [4 per cell]
V 0.2509 0.0875 0.2266 [4 per cell]
V 0.4924 0.3310 0.2182 [4 per cell]
Sn 0.4943 0.1680 0.4992 [4 per cell]
O 0.0031 0.0068 0.3137 [4 per cell]
O 0.2162 0.2607 0.8441 [4 per cell]
O 0.2362 0.0818 0.6099 [4 per cell]
O 0.2539 0.4198 0.1066 [4 per cell]
O 0.2624 0.2401 0.3451 [4 per cell]
O 0.4755 0.1583 0.1118 [4 per cell]
O 0.4817 0.0176 0.3493 [4 per cell]
O 0.4967 0.3393 0.6034 [4 per cell]


It is *d* that is most stable; the runner-up trails by 2.2 kJ/mol of atoms.


*a*
Entry from the Alexandria database: an optimized crystal structure of Li2V3SnO8 (PBE+U).

Volume (Å³ per atom): 11.23
Magnetic moment (μB per formula unit): 5.00
Theoretical density (g cm⁻³): 4.4

a b c (Å): 6.0440 6.0985 8.5286
angles (deg): 89.84 89.18 89.93
Space group P1 (No. 1)
Asymmetric unit:
Li 0.0000 0.0000 0.0000 [1 per cell]
Li 0.2410 0.0104 0.3717 [1 per cell]
Li 0.4997 0.4952 0.5011 [1 per cell]
Li 0.7432 0.4983 0.8727 [1 per cell]
V 0.0135 0.4973 0.5029 [1 per cell]
V 0.2534 0.2535 0.7424 [1 per cell]
V 0.2534 0.7314 0.7356 [1 per cell]
V 0.5210 0.9946 0.0040 [1 per cell]
V 0.7523 0.7617 0.2437 [1 per cell]
V 0.7538 0.2402 0.2423 [1 per cell]
Sn 0.2669 0.4984 0.1136 [1 per cell]
Sn 0.7673 0.9972 0.6174 [1 per cell]
O 0.0248 0.5076 0.7444 [1 per cell]
O 0.0288 0.9958 0.7568 [1 per cell]
O 0.2373 0.2719 0.5153 [1 per cell]
O 0.2372 0.7471 0.5239 [1 per cell]
O 0.2558 0.7702 0.9812 [1 per cell]
O 0.2605 0.2232 0.9863 [1 per cell]
O 0.4613 0.5059 0.7534 [1 per cell]
O 0.4917 0.9903 0.7561 [1 per cell]
O 0.5122 0.0009 0.2319 [1 per cell]
O 0.5288 0.5019 0.2533 [1 per cell]
O 0.7181 0.7700 0.0069 [1 per cell]
O 0.7200 0.2292 0.0105 [1 per cell]
O 0.7580 0.2693 0.4874 [1 per cell]
O 0.7592 0.7282 0.4861 [1 per cell]
O 0.9635 0.9996 0.2449 [1 per cell]
O 0.9915 0.5017 0.2515 [1 per cell]


*b*
Entry from the Alexandria database: an optimized crystal structure of Li2V3SnO8 (PBE+U).

Volume (Å³ per atom): 11.46
Magnetic moment (μB per formula unit): 5.00
Theoretical density (g cm⁻³): 4.3

a b c (Å): 6.0140 6.1704 10.4468
angles (deg): 73.79 89.93 60.86
Space group P-1 (No. 2)
Asymmetric unit:
Li 0.0630 0.3654 0.1881 [2 per cell]
Li 0.4280 0.6350 0.3121 [2 per cell]
V 0.0000 0.0000 0.0000 [1 per cell]
V 0.0000 0.0000 0.5000 [1 per cell]
V 0.2552 0.9998 0.7502 [2 per cell]
V 0.5000 0.0000 0.0000 [1 per cell]
V 0.5000 0.0000 0.5000 [1 per cell]
Sn 0.0000 0.5000 0.5000 [1 per cell]
Sn 0.5000 0.5000 0.0000 [1 per cell]
O 0.0927 0.7678 0.3798 [2 per cell]
O 0.1408 0.7681 0.8786 [2 per cell]
O 0.1425 0.2324 0.3909 [2 per cell]
O 0.1646 0.2003 0.8875 [2 per cell]
O 0.3637 0.8002 0.6123 [2 per cell]
O 0.3686 0.2322 0.6175 [2 per cell]
O 0.3727 0.7685 0.1089 [2 per cell]
O 0.3975 0.2334 0.1165 [2 per cell]


*c*
Entry from the Alexandria database: an optimized crystal structure of Li2V3SnO8 (PBE+U).

Volume (Å³ per atom): 11.14
Magnetic moment (μB per formula unit): 5.00
Theoretical density (g cm⁻³): 4.4

a b c (Å): 6.0419 6.0419 14.7995
angles (deg): 90.00 90.00 120.00
Space group R3m (No. 160, hexagonal axes)
Asymmetric unit:
Li 0.0000 0.0000 0.0000 [3 per cell]
Li 0.0000 0.0000 0.3784 [3 per cell]
V 0.1764 0.3529 0.8298 [9 per cell]
Sn 0.0000 0.0000 0.6193 [3 per cell]
O 0.0000 0.0000 0.2431 [3 per cell]
O 0.0000 0.0000 0.7567 [3 per cell]
O 0.0232 0.5116 0.7608 [9 per cell]
O 0.1806 0.3611 0.5749 [9 per cell]


It is *b* that is most stable; the runner-up trails by 4.3 kJ/mol of atoms.